Material: LaHN2F
Method: DFT, PBE
State: optimized geometry

Excess energy over the best structure of this formula in the dataset, meV/atom: 0

Cell and atoms, written as extended XYZ:
```
5
Lattice="3.4349 0.0000 0.0000 0.0000 3.4349 0.0000 0.0000 0.0000 4.3320" Properties=species:S:1:pos:R:3 pbc="T T T"
H 0.0000 0.0000 0.0000
N 0.0000 1.7175 0.0000
N 1.7175 0.0000 0.0000
F 0.0000 0.0000 2.1660
La 1.7175 1.7175 2.1660
```

Material: LaHN2F
Method: DFT, PBE
State: optimized geometry

Excess energy over the best structure of this formula in the dataset, meV/atom: 708

Cell and atoms, written as extended XYZ:
```
5
Lattice="5.0344 0.0000 0.0000 0.0000 5.0344 0.0000 0.0000 0.0000 4.6973" Properties=species:S:1:pos:R:3 pbc="T T T"
H 2.5172 2.5172 2.3487
N 0.0000 2.5172 0.0000
N 2.5172 0.0000 0.0000
F 0.0000 0.0000 2.3487
La 0.0000 0.0000 0.0000
```

Material: LaHOF2
Method: DFT, PBE
State: optimized geometry

Excess energy over the best structure of this formula in the dataset, meV/atom: 344

Cell and atoms, written as extended XYZ:
```
5
Lattice="-3.1779 -2.4108 2.4593 3.2438 -0.9713 3.2395 -1.1384 3.8371 2.2904" Properties=species:S:1:pos:R:3 pbc="T T T"
H -0.5363 0.2275 3.9946
F 1.6219 -0.4856 1.6197
F -1.5890 -1.2054 1.2297
O -0.5692 1.9185 1.1452
La 0.0000 0.0000 0.0000
```

Material: LaH2OF
Method: DFT, PBE
State: optimized geometry

Calculated total energy, eV for the cell shown: -23.70

Cell and atoms, written as extended XYZ:
```
5
Lattice="-1.3718 -2.1165 2.4522 0.6215 -3.9478 -3.0598 3.2100 -0.5311 1.3373" Properties=species:S:1:pos:R:3 pbc="T T T"
H 1.6050 -0.2656 0.6686
H -0.6859 -1.0582 1.2261
F 0.0000 0.0000 0.0000
O 1.2298 -3.2977 0.3648
La 0.3107 -1.9739 -1.5299
```

Material: LaHOF2
Method: DFT, PBE
State: optimized geometry

Excess energy over the best structure of this formula in the dataset, meV/atom: 0

Cell and atoms, written as extended XYZ:
```
5
Lattice="3.6466 0.0000 0.0000 0.0000 3.6466 0.0000 0.0000 0.0000 3.8207" Properties=species:S:1:pos:R:3 pbc="T T T"
H 0.0000 0.0000 0.0000
F 0.0000 1.8233 0.0000
F 1.8233 0.0000 0.0000
O 0.0000 0.0000 1.9104
La 1.8233 1.8233 1.9104
```

Material: LaH2PdF8
Method: DFT, PBE
State: optimized geometry

Calculated total energy, eV for the cell shown: -58.77

Cell and atoms, written as extended XYZ:
```
12
Lattice="-1.1726 1.4429 -3.2898 -4.9685 -1.0375 -0.9337 -3.6483 6.5360 4.5137" Properties=species:S:1:pos:R:3 pbc="T T T"
La -1.8241 3.2680 2.2569
H -5.6223 5.2226 1.2953
H -4.1670 1.7189 -1.0052
Pd 0.0000 0.0000 0.0000
F -4.9791 0.8518 -0.2380
F -8.1682 6.5186 1.3317
F -3.5805 2.3392 -1.5369
F -4.8102 6.0896 0.5281
F -1.6210 0.4228 -1.0415
F -6.2088 4.6022 1.8270
F -6.1204 3.3019 -0.6356
F -3.6689 3.6395 0.9257
```

Material: La2HPdF
Method: DFT, PBE
State: optimized geometry

Calculated total energy, eV for the cell shown: -25.51

Cell and atoms, written as extended XYZ:
```
5
Lattice="-3.3226 2.3422 3.3822 -2.6686 -1.8117 -1.3669 0.8353 -3.8729 3.5026" Properties=species:S:1:pos:R:3 pbc="T T T"
H 0.0000 0.0000 0.0000
F -2.5780 -1.6712 2.7590
Pd -1.3343 -0.9059 -0.6834
La 0.4176 -1.9365 1.7513
La -1.6613 1.1711 1.6911
```

Material: LaTaH2F
Method: DFT, PBE
State: optimized geometry

Calculated total energy, eV for the cell shown: -23.49

Cell and atoms, written as extended XYZ:
```
5
Lattice="4.6654 0.0000 0.0000 0.0000 4.6654 0.0000 0.0000 0.0000 4.2669" Properties=species:S:1:pos:R:3 pbc="T T T"
H 0.0000 2.3327 0.0000
H 2.3327 0.0000 0.0000
F 0.0000 0.0000 0.0000
La 0.0000 0.0000 2.1334
Ta 2.3327 2.3327 2.1334
```

| no. | calculated volume (Å³ per atom) |
| --- | --- |
| 1 | 10.22 |
| 2 | 23.81 |
| 3 | 20.25 |
| 4 | 12.46 |
| 5 | 10.16 |
| 6 | 12.91 |
| 7 | 19.59 |
| 8 | 18.57 |